No. 1
Computed, not measured: an optimized crystal structure of BaTiO3 at the GGA-PBE level of DFT.

Results
Symmetry: Amm2, No. 38
Size of the total moment in μB/cell: 0.00
Uncorrected formation energy in kcal/mol of atoms: -60.85

Cell lengths 3.118, 6.336, 6.336 Å; angles 114.23, 90.00, 90.00 degrees
Fractional positions:
Ba  0.500  0.064  0.936
O  0.500  0.273  0.368
O  0.500  0.632  0.727
O  0.000  0.247  0.753
Ti  0.000  0.413  0.587


No. 2
Computed, not measured: an optimized crystal structure of BaTi6O11 at the GGA-PBE level of DFT.

Results
Symmetry: Cmc2_1, No. 36
Size of the total moment in μB/cell: 0.00
Uncorrected formation energy in kcal/mol of atoms: -68.62

Cell lengths 7.743, 7.743, 14.318 Å; angles 90.00, 90.00, 98.57 degrees
Fractional positions:
Ba  0.582  0.582  0.577
Ba  0.902  0.902  0.405
Ba  0.418  0.418  0.077
Ba  0.098  0.098  0.905
Ti  0.055  0.305  0.677
Ti  0.201  0.452  0.319
Ti  0.695  0.945  0.177
Ti  0.548  0.799  0.819
Ti  0.452  0.201  0.319
Ti  0.305  0.055  0.677
Ti  0.799  0.548  0.819
Ti  0.945  0.695  0.177
Ti  0.003  0.507  0.505
Ti  0.493  0.997  0.005
Ti  0.507  0.003  0.505
Ti  0.997  0.493  0.005
Ti  0.679  0.175  0.655
Ti  0.342  0.811  0.355
Ti  0.825  0.321  0.155
Ti  0.189  0.658  0.855
Ti  0.811  0.342  0.355
Ti  0.175  0.679  0.655
Ti  0.658  0.189  0.855
Ti  0.321  0.825  0.155
Ti  0.244  0.244  0.505
Ti  0.756  0.756  0.005
Ti  0.922  0.922  0.663
Ti  0.078  0.078  0.163
O  0.876  0.129  0.745
O  0.344  0.631  0.254
O  0.871  0.124  0.245
O  0.369  0.656  0.754
O  0.631  0.344  0.254
O  0.129  0.876  0.745
O  0.656  0.369  0.754
O  0.124  0.871  0.245
O  0.855  0.348  0.591
O  0.160  0.647  0.410
O  0.652  0.145  0.091
O  0.353  0.840  0.910
O  0.647  0.160  0.410
O  0.348  0.855  0.591
O  0.840  0.353  0.910
O  0.145  0.652  0.091
O  0.219  0.464  0.582
O  0.031  0.295  0.417
O  0.536  0.781  0.082
O  0.705  0.969  0.917
O  0.295  0.031  0.417
O  0.464  0.219  0.582
O  0.969  0.705  0.917
O  0.781  0.536  0.082
O  0.750  0.750  0.743
O  0.759  0.759  0.246
O  0.250  0.250  0.243
O  0.241  0.241  0.746
O  0.795  0.533  0.427
O  0.966  0.719  0.580
O  0.467  0.205  0.927
O  0.281  0.034  0.080
O  0.719  0.966  0.580
O  0.533  0.795  0.427
O  0.034  0.281  0.080
O  0.205  0.467  0.927
O  0.087  0.087  0.590
O  0.380  0.380  0.401
O  0.913  0.913  0.090
O  0.620  0.620  0.901
O  0.026  0.525  0.752
O  0.974  0.475  0.252
O  0.475  0.974  0.252
O  0.525  0.026  0.752


No. 3
Computed, not measured: an optimized crystal structure of BaTiO3 at the GGA-PBE level of DFT.

Results
Symmetry: P2_1/m, No. 11
Size of the total moment in μB/cell: 0.00
Uncorrected formation energy in kcal/mol of atoms: -68.58

Cell lengths 3.538, 6.741, 7.428 Å; angles 90.00, 103.75, 90.00 degrees
Fractional positions:
Ba  0.677  0.250  0.852
Ba  0.323  0.750  0.148
O  0.155  0.544  0.809
O  0.845  0.456  0.191
O  0.155  0.956  0.809
O  0.845  0.044  0.191
O  0.480  0.250  0.462
O  0.520  0.750  0.538
Ti  0.922  0.250  0.346
Ti  0.078  0.750  0.654


No. 4
Computed, not measured: an optimized crystal structure of BaTiO at the GGA-PBE level of DFT.

Results
Symmetry: Amm2, No. 38
Size of the total moment in μB/cell: 0.00
Uncorrected formation energy in kcal/mol of atoms: -21.28

Cell lengths 3.430, 3.429, 12.225 Å; angles 90.00, 90.00, 120.01 degrees
Fractional positions:
O  0.610  0.220  0.000
O  0.279  0.557  0.500
Ti  0.612  0.224  0.404
Ti  0.612  0.224  0.596
Ba  0.277  0.553  0.856
Ba  0.277  0.553  0.144


No. 5
Computed, not measured: an optimized crystal structure of Ba4Ti12O27 at the GGA-PBE level of DFT.

Results
Symmetry: C2/m, No. 12
Size of the total moment in μB/cell: 3.04
Uncorrected formation energy in kcal/mol of atoms: -70.73

Cell lengths 11.564, 11.564, 10.033 Å; angles 73.63, 73.63, 59.87 degrees
Site moments in Bohr magnetons follow the coordinates.
Fractional positions:
Ba  0.204  0.204  0.874  0.00
Ba  0.796  0.796  0.126  0.00
Ba  0.076  0.076  0.289  0.00
Ba  0.924  0.924  0.711  0.00
Ba  0.210  0.660  0.215  0.00
Ba  0.340  0.790  0.785  0.00
Ba  0.790  0.340  0.785  0.00
Ba  0.660  0.210  0.215  0.00
Ti  0.000  0.000  0.000  0.46
Ti  0.500  0.500  0.500  0.10
Ti  0.000  0.500  0.500  0.17
Ti  0.500  0.000  0.500  0.17
Ti  0.230  0.770  0.500  0.20
Ti  0.770  0.230  0.500  0.20
Ti  0.387  0.387  0.921  0.03
Ti  0.613  0.613  0.079  0.03
Ti  0.263  0.263  0.483  0.10
Ti  0.737  0.737  0.517  0.10
Ti  0.111  0.111  0.610  0.21
Ti  0.889  0.889  0.390  0.21
Ti  0.880  0.363  0.078  0.11
Ti  0.637  0.120  0.922  0.11
Ti  0.120  0.637  0.922  0.11
Ti  0.363  0.880  0.078  0.11
Ti  0.491  0.770  0.341  0.07
Ti  0.230  0.509  0.659  0.07
Ti  0.509  0.230  0.659  0.07
Ti  0.770  0.491  0.341  0.07
Ti  0.388  0.121  0.214  0.06
Ti  0.879  0.612  0.786  0.06
Ti  0.612  0.879  0.786  0.06
Ti  0.121  0.388  0.214  0.06
O  0.433  0.433  0.694  0.00
O  0.567  0.567  0.306  0.00
O  0.314  0.314  0.111  0.00
O  0.686  0.686  0.889  0.00
O  0.316  0.316  0.615  0.00
O  0.684  0.684  0.385  0.00
O  0.205  0.205  0.345  0.00
O  0.795  0.795  0.655  0.00
O  0.069  0.069  0.801  -0.02
O  0.931  0.931  0.199  -0.02
O  0.935  0.185  0.052  -0.01
O  0.815  0.065  0.948  -0.01
O  0.065  0.815  0.948  -0.01
O  0.185  0.935  0.052  -0.01
O  0.819  0.313  0.301  0.00
O  0.687  0.181  0.699  0.00
O  0.181  0.687  0.699  0.00
O  0.313  0.819  0.301  0.00
O  0.690  0.433  0.057  0.00
O  0.567  0.310  0.943  0.00
O  0.310  0.567  0.943  0.00
O  0.433  0.690  0.057  0.00
O  0.793  0.550  0.142  0.00
O  0.450  0.207  0.858  0.00
O  0.207  0.450  0.858  0.00
O  0.550  0.793  0.142  0.00
O  0.053  0.322  0.124  -0.01
O  0.678  0.947  0.876  -0.01
O  0.947  0.678  0.876  -0.01
O  0.322  0.053  0.124  -0.01
O  0.452  0.944  0.361  -0.01
O  0.056  0.548  0.639  -0.01
O  0.826  0.063  0.440  -0.01
O  0.937  0.174  0.560  -0.01
O  0.174  0.937  0.560  -0.01
O  0.063  0.826  0.440  -0.01
O  0.311  0.571  0.469  0.00
O  0.429  0.689  0.531  0.00
O  0.689  0.429  0.531  0.00
O  0.571  0.311  0.469  0.00
O  0.567  0.076  0.113  0.00
O  0.924  0.433  0.887  0.00
O  0.433  0.924  0.887  0.00
O  0.076  0.567  0.113  0.00
O  0.695  0.924  0.404  0.00
O  0.076  0.305  0.596  0.00
O  0.305  0.076  0.596  0.00
O  0.924  0.695  0.404  0.00
O  0.177  0.441  0.369  0.00
O  0.559  0.823  0.631  0.00
O  0.823  0.559  0.631  0.00
O  0.441  0.177  0.369  0.00
O  0.944  0.452  0.361  -0.01
O  0.548  0.056  0.639  -0.01


No. 6
Computed, not measured: an optimized crystal structure of BaTiO3 at the GGA-PBE level of DFT.

Results
Symmetry: Cmcm, No. 63
Size of the total moment in μB/cell: 0.82
Uncorrected formation energy in kcal/mol of atoms: -41.33

Cell lengths 7.592, 7.592, 5.313 Å; angles 90.00, 90.00, 150.52 degrees
Site moments in Bohr magnetons follow the coordinates.
Fractional positions:
Ba  0.161  0.839  0.250  0.03
Ba  0.839  0.161  0.750  0.03
O  0.079  0.401  0.250  -0.02
O  0.599  0.921  0.250  -0.02
O  0.401  0.079  0.750  -0.02
O  0.921  0.599  0.750  -0.02
O  0.000  0.000  0.000  0.01
O  0.000  0.000  0.500  0.01
Ti  0.447  0.553  0.250  0.27
Ti  0.553  0.447  0.750  0.27


No. 7
Computed, not measured: an optimized crystal structure of BaTiO3 at the GGA-PBE level of DFT.

Results
Symmetry: P6_3/mmc, No. 194
Size of the total moment in μB/cell: 0.00
Uncorrected formation energy in kcal/mol of atoms: -61.79

Cell lengths 3.748, 3.748, 13.259 Å; angles 90.00, 90.00, 120.00 degrees
Fractional positions:
Ba  0.000  0.000  0.000
Ba  0.000  0.000  0.500
O  0.000  0.000  0.250
O  0.000  0.000  0.750
O  0.333  0.667  0.888
O  0.333  0.667  0.612
O  0.667  0.333  0.388
O  0.667  0.333  0.112
Ti  0.333  0.667  0.750
Ti  0.667  0.333  0.250


No. 8
Computed, not measured: an optimized crystal structure of Ba2Ti3O8 at the GGA-PBE level of DFT.

Results
Symmetry: P4/mmm, No. 123
Size of the total moment in μB/cell: 0.00
Uncorrected formation energy in kcal/mol of atoms: -66.57
E above lowest polymorph in kcal/mol of atoms: 3.067

Cell lengths 3.950, 3.950, 12.966 Å; angles 90.00, 90.00, 90.00 degrees
Fractional positions:
Ba  0.500  0.500  0.164
Ba  0.500  0.500  0.836
Ti  0.000  0.000  0.306
Ti  0.000  0.000  0.000
Ti  0.000  0.000  0.694
O  0.000  0.500  0.316
O  0.500  0.000  0.316
O  0.500  0.000  0.000
O  0.000  0.000  0.158
O  0.000  0.500  0.684
O  0.500  0.000  0.684
O  0.000  0.000  0.842
O  0.000  0.500  0.000


No. 9
Computed, not measured: an optimized crystal structure of Ba2Ti6O13 at the GGA-PBE level of DFT.

Results
Symmetry: C2/m, No. 12
Size of the total moment in μB/cell: 0.00
Uncorrected formation energy in kcal/mol of atoms: -70.53

Cell lengths 7.811, 7.811, 9.181 Å; angles 82.15, 82.15, 29.60 degrees
Fractional positions:
Ba  0.052  0.052  0.221
Ba  0.948  0.948  0.779
Ti  0.669  0.669  0.556
Ti  0.331  0.331  0.444
Ti  0.251  0.251  0.777
Ti  0.749  0.749  0.223
Ti  0.622  0.622  0.900
Ti  0.378  0.378  0.100
O  0.500  0.500  0.000
O  0.428  0.428  0.302
O  0.572  0.572  0.698
O  0.369  0.369  0.621
O  0.631  0.631  0.379
O  0.327  0.327  0.919
O  0.673  0.673  0.081
O  0.199  0.199  0.570
O  0.874  0.874  0.112
O  0.126  0.126  0.888
O  0.258  0.258  0.245
O  0.742  0.742  0.755
O  0.801  0.801  0.430


No. 10
Computed, not measured: an optimized crystal structure of BaTi2O4 at the GGA-PBE level of DFT.

Results
Symmetry: I4_1/amd, No. 141
Size of the total moment in μB/cell: 3.70
Uncorrected formation energy in kcal/mol of atoms: -60.59

Cell lengths 6.374, 6.375, 6.374 Å; angles 113.42, 113.42, 101.84 degrees
Site moments in Bohr magnetons follow the coordinates.
Fractional positions:
Ba  0.250  0.750  0.500  0.01
Ba  0.000  0.000  0.000  0.01
Ti  0.625  0.375  0.750  0.81
Ti  0.625  0.875  0.250  0.81
Ti  0.625  0.375  0.250  0.81
Ti  0.125  0.375  0.750  0.81
O  0.874  0.195  0.321  -0.01
O  0.376  0.555  0.179  -0.01
O  0.874  0.553  0.679  -0.01
O  0.805  0.126  0.679  -0.01
O  0.447  0.126  0.321  -0.01
O  0.376  0.197  0.821  -0.01
O  0.445  0.624  0.821  -0.01
O  0.803  0.624  0.179  -0.01


No. 11
Computed, not measured: an optimized crystal structure of BaTiO3 at the GGA-PBE level of DFT.

Results
Symmetry: R3m, No. 160
Size of the total moment in μB/cell: 0.00
Uncorrected formation energy in kcal/mol of atoms: -58.33

Cell lengths 5.219, 5.219, 5.219 Å; angles 84.42, 84.42, 84.42 degrees
Fractional positions:
Ba  0.559  0.559  0.559
O  0.678  0.076  0.678
O  0.076  0.678  0.678
O  0.678  0.678  0.076
Ti  0.884  0.884  0.884


No. 12
Computed, not measured: an optimized crystal structure of BaTiO3 at the GGA-PBE level of DFT.

Results
Symmetry: C2/m, No. 12
Size of the total moment in μB/cell: 0.00
Uncorrected formation energy in kcal/mol of atoms: -62.07

Cell lengths 17.429, 7.291, 7.291 Å; angles 154.10, 153.25, 26.75 degrees
Fractional positions:
Ba  0.858  0.027  0.973
Ba  0.142  0.973  0.027
O  0.751  0.324  0.676
O  0.249  0.676  0.324
O  0.111  0.195  0.805
O  0.889  0.805  0.195
O  0.452  0.741  0.259
O  0.548  0.259  0.741
Ti  0.658  0.006  0.994
Ti  0.342  0.994  0.006


No. 13
Computed, not measured: an optimized crystal structure of BaTiO3 at the GGA-PBE level of DFT.

Results
Symmetry: C222_1, No. 20
Size of the total moment in μB/cell: 0.00
Uncorrected formation energy in kcal/mol of atoms: -70.78

Cell lengths 5.798, 5.798, 14.147 Å; angles 90.00, 90.00, 119.39 degrees
Fractional positions:
Ba  0.354  0.683  0.404
Ba  0.683  0.354  0.596
Ba  0.646  0.317  0.904
Ba  0.002  0.998  0.250
Ba  0.998  0.002  0.750
Ba  0.317  0.646  0.096
Ti  0.359  0.700  0.654
Ti  0.700  0.359  0.346
Ti  0.966  0.966  0.000
Ti  0.300  0.641  0.846
Ti  0.034  0.034  0.500
Ti  0.641  0.300  0.154
O  0.164  0.837  0.920
O  0.835  0.671  0.080
O  0.521  0.028  0.246
O  0.836  0.665  0.419
O  0.837  0.164  0.080
O  0.165  0.329  0.580
O  0.665  0.836  0.581
O  0.972  0.479  0.254
O  0.477  0.523  0.750
O  0.163  0.836  0.580
O  0.335  0.164  0.081
O  0.523  0.477  0.250
O  0.671  0.835  0.920
O  0.836  0.163  0.420
O  0.329  0.165  0.420
O  0.479  0.972  0.746
O  0.028  0.521  0.754
O  0.164  0.335  0.919